Entry 1:
The following is a DFT calculation (GGA-PBE) of crystalline Mn2NbGe at its relaxed geometry.

For the total energy, the calculation gives -8.3879 eV per atom. Its space group is P4/mmm, No. 123.

a b c (Å): 4.127 4.127 3.136
angles (deg): 90.00 90.00 90.00
Fractional coordinates of all 4 atoms:
Mn: 0.000 0.500 0.000
Mn: 0.500 0.000 0.000
Nb: 0.000 0.000 0.500
Ge: 0.500 0.500 0.500



Entry 2:
The following is a DFT calculation (GGA-PBE) of crystalline MnNb2Ge2 at its relaxed geometry.

As for the energy above the lowest structure with this stoichiometry: 0.0 kJ per mole of atoms. Its space group is P4/mbm, No. 127.

a b c (Å): 6.620 6.620 3.678
angles (deg): 90.00 90.00 90.00
Fractional coordinates of all 10 atoms:
Mn: 0.000 0.000 0.000
Mn: 0.500 0.500 0.000
Nb: 0.170 0.330 0.500
Nb: 0.330 0.830 0.500
Nb: 0.670 0.170 0.500
Nb: 0.830 0.670 0.500
Ge: 0.135 0.635 0.000
Ge: 0.365 0.135 0.000
Ge: 0.635 0.865 0.000
Ge: 0.865 0.365 0.000



Entry 3:
The following is a DFT calculation (GGA-PBE) of crystalline MnNb2Ge2 at its relaxed geometry.

As for the energy above the lowest structure with this stoichiometry: 8.9 kJ per mole of atoms. Its space group is Cmc2_1, No. 36.

a b c (Å): 7.368 7.368 5.443
angles (deg): 90.00 90.00 146.41
Fractional coordinates of all 10 atoms:
Mn: 0.102 0.898 0.500
Mn: 0.898 0.102 0.000
Nb: 0.302 0.698 0.592
Nb: 0.498 0.502 0.800
Nb: 0.502 0.498 0.300
Nb: 0.698 0.302 0.092
Ge: 0.079 0.921 0.032
Ge: 0.320 0.680 0.091
Ge: 0.680 0.320 0.591
Ge: 0.921 0.079 0.532



Entry 4:
The following is a DFT calculation (GGA-PBE) of crystalline Mn2NbGe at its relaxed geometry.

For the total energy, the calculation gives -7.8591 eV per atom. Its space group is I-42d, No. 122.

a b c (Å): 5.566 5.566 5.566
angles (deg): 102.90 102.90 123.60
Fractional coordinates of all 8 atoms:
Mn: 0.106 0.625 0.981
Mn: 0.375 0.356 0.481
Mn: 0.644 0.125 0.019
Mn: 0.875 0.894 0.519
Nb: 0.250 0.750 0.500
Nb: 0.500 0.500 0.000
Ge: 0.000 0.000 0.000
Ge: 0.750 0.250 0.500



Entry 5:
The following is a DFT calculation (GGA-PBE) of crystalline Mn3Nb2Ge at its relaxed geometry.

For the total energy, the calculation gives -8.9671 eV per atom. Its space group is R-3m, No. 166.

a b c (Å): 4.925 4.925 4.925
angles (deg): 59.45 59.45 59.45
Fractional coordinates of all 6 atoms:
Mn: 0.000 0.500 0.500
Mn: 0.500 0.000 0.500
Mn: 0.500 0.500 0.000
Nb: 0.123 0.123 0.123
Nb: 0.877 0.877 0.877
Ge: 0.500 0.500 0.500



Entry 6:
The following is a DFT calculation (GGA-PBE) of crystalline Mn2Nb2Ge at its relaxed geometry.

For the total energy, the calculation gives -8.6266 eV per atom. Its space group is P4/mbm, No. 127.

a b c (Å): 5.942 5.942 4.265
angles (deg): 90.00 90.00 90.00
Fractional coordinates of all 10 atoms:
Mn: 0.120 0.380 0.000
Mn: 0.380 0.880 0.000
Mn: 0.620 0.120 0.000
Mn: 0.880 0.620 0.000
Nb: 0.190 0.690 0.500
Nb: 0.310 0.190 0.500
Nb: 0.690 0.810 0.500
Nb: 0.810 0.310 0.500
Ge: 0.000 0.000 0.000
Ge: 0.500 0.500 0.000